A relaxed structure of K2Tl12Te7. Source: Alexandria, functional GGA-PBE.

```
K2Tl12Te7
1.0
5.390 0.000 0.000
0.000 11.284 -6.515
0.000 0.000 13.030
K Tl Te
2 12 7
Cartesian
0.932 3.761 6.515
4.458 7.523 0.000
1.089 6.948 -3.247
1.089 4.999 2.121
1.089 10.622 1.125
4.301 4.336 9.761
4.301 6.285 4.394
4.301 0.662 5.390
1.103 0.881 2.699
1.103 1.897 10.917
1.103 8.506 5.928
4.288 10.403 3.816
4.288 9.387 -4.402
4.288 2.778 0.586
2.695 0.000 0.000
2.234 9.694 -1.858
2.234 4.828 -0.951
2.234 8.047 2.809
3.156 1.590 8.373
3.156 6.456 7.466
3.156 3.237 3.705
```

Results
As for the total magnetization: 0.00 μB/f.u. The raw formation energy is -0.39 eV/atom.

---

A relaxed structure of KTl8Te6. Source: Alexandria, functional GGA-PBE.

```
KTl8Te6
1.0
8.217 0.205 3.941
2.564 7.809 3.941
0.275 0.205 9.109
K Tl Te
1 8 6
Cartesian
0.000 0.000 0.000
3.463 4.648 11.173
3.048 6.242 7.483
4.065 1.119 9.299
7.376 5.483 11.335
3.680 2.735 5.655
6.992 7.099 7.691
8.008 1.976 9.507
7.594 3.570 5.817
1.913 3.447 8.603
4.751 7.380 9.984
5.712 2.422 11.757
5.345 5.796 5.233
6.306 0.838 7.006
9.144 4.771 8.387
```

Results
As for the total magnetization: 0.00 μB/f.u. As for the density of states at the Fermi level: 7.09 states/eV/cell. The raw formation energy is -0.32 eV/atom.

---

A relaxed structure of KTlTe3. Source: Alexandria, functional GGA-PBE.

```
KTlTe3
1.0
-2.457 4.043 3.901
2.449 -3.061 4.715
5.056 3.447 -0.388
Tl Te K
1 3 1
Cartesian
2.524 2.214 4.114
1.225 -1.531 2.357
2.528 1.724 -0.194
-1.228 2.021 1.951
0.000 0.000 0.000
```

Results
As for the total magnetization: 0.00 μB/f.u. The distance to the lowest polymorph of the same formula comes out at 855.7 meV per atom. As for the density of states at the Fermi level: 9.73 states/eV/cell. The raw formation energy is 0.47 eV/atom.